No. 1
VASP calculation (GGA-PBE) on a geometry-optimized CoMoRu structure.

Geometry as POSCAR:
```
CoMoRu
1.0
2.705 0.000 0.000
-1.353 2.343 0.000
0.000 0.000 6.503
Co Ru Mo
1 1 1
Cartesian
0.000 0.000 6.484 Co
0.000 1.562 4.381 Ru
1.353 0.781 2.141 Mo
```

Fermi-level density of states	1.44	states/eV/atom
final energy	-8.863	eV/atom
size of the total moment	1.3	μB/cell
calculated formation energy	20.05	kJ per mole of atoms
mass density	10312	kg/m3
space group	P3m1 (156)
offset from the most stable computed form	97.4	meV/atom


No. 2
VASP calculation (GGA-PBE) on a geometry-optimized KHfIn structure.

Geometry as POSCAR:
```
KHfIn
1.0
-6.623 1.890 -0.089
-0.016 -2.684 1.746
4.526 4.437 6.845
In Hf K
2 2 2
Cartesian
-2.506 1.377 1.963 In
-4.284 1.298 4.768 In
-0.304 0.835 4.090 Hf
-1.856 3.189 4.757 Hf
-5.858 -0.471 2.016 K
1.651 2.571 6.756 K
```

Fermi-level density of states	0.84	states/eV/atom
final energy	-4.341	eV/atom
size of the total moment	0.0	μB/cell
calculated formation energy	24.66	kJ per mole of atoms
mass density	5902	kg/m3
space group	P1 (1)
offset from the most stable computed form	245.9	meV/atom


No. 3
VASP calculation (GGA-PBE) on a geometry-optimized LiTlCl4 structure.

Geometry as POSCAR:
```
LiTlCl4
1.0
-1.798 -5.624 0.051
5.506 -1.771 -1.190
2.111 -0.578 10.627
Cl Tl Li
8 2 2
Cartesian
1.768 -1.993 3.774 Cl
2.708 -2.342 9.107 Cl
1.257 -4.984 6.324 Cl
5.059 -3.125 5.670 Cl
3.553 -5.844 3.210 Cl
4.724 -6.072 8.504 Cl
0.260 -4.811 0.993 Cl
3.945 -2.720 0.374 Cl
0.684 -3.245 7.996 Tl
3.281 -1.030 2.062 Tl
1.055 -0.289 5.314 Li
0.000 0.000 0.000 Li
```

Fermi-level density of states	0.00	states/eV/atom
final energy	-2.983	eV/atom
size of the total moment	0.0	μB/cell
energy relative to the elements, uncorrected	-1.04	eV/atom
mass density	3100	kg/m3
space group	P-42c (112)
offset from the most stable computed form	6.0	meV/atom


No. 4
VASP calculation (GGA-PBE) on a geometry-optimized ErPu2ThSe4 structure.

Geometry as POSCAR:
```
ErPu2ThSe4
1.0
-1.615 1.304 -3.541
-5.571 -4.614 0.842
-1.621 6.183 3.015
Er Pu Se Th
1 2 4 1
Cartesian
0.000 0.000 0.000 Er
-1.618 3.743 -0.263 Pu
-3.596 0.784 1.928 Pu
-4.646 -1.945 1.402 Se
-2.550 1.060 -0.826 Se
-6.257 1.812 1.141 Se
-2.546 3.514 2.454 Se
-3.593 -1.655 -1.350 Th
```

Fermi-level density of states	2.00	states/eV/atom
final energy	-8.404	eV/atom
size of the total moment	0.2	μB/cell
energy relative to the elements, uncorrected	-1.58	eV/atom
mass density	10017	kg/m3
space group	P2/m (10)


No. 5
VASP calculation (GGA-PBE) on a geometry-optimized Rb2Pm2SnS6 structure.

Geometry as POSCAR:
```
Rb2Pm2SnS6
1.0
-0.763 -6.729 1.732
6.284 3.009 0.563
-3.544 3.365 6.664
Rb S Pm Sn
2 6 2 1
Cartesian
0.438 -5.070 1.533 Rb
5.084 1.350 0.762 Rb
0.219 0.160 2.653 S
1.758 -0.515 6.307 S
-0.117 3.021 4.912 S
2.095 -3.376 4.048 S
-2.325 -0.030 5.278 S
4.302 -0.325 3.681 S
-0.191 -1.808 4.676 Pm
2.169 1.453 4.284 Pm
-1.772 1.683 3.332 Sn
```

final energy	-5.064	eV/atom
size of the total moment	0.0	μB/cell
energy relative to the elements, uncorrected	-1.41	eV/atom
mass density	3810	kg/m3
space group	C2/m (12)


No. 6
VASP calculation (GGA-PBE) on a geometry-optimized KCrSb4 structure.

Geometry as POSCAR:
```
KCrSb4
1.0
-1.064 -2.463 5.750
-5.238 -3.417 1.067
0.428 -6.267 0.896
Cr Sb K
1 4 1
Cartesian
-4.406 -9.110 5.785 Cr
-2.736 -5.789 5.753 Sb
-1.996 -7.677 3.344 Sb
-2.208 -4.566 2.899 Sb
-4.809 -6.262 3.429 Sb
0.000 0.000 0.000 K
```

Fermi-level density of states	0.39	states/eV/atom
final energy	-4.257	eV/atom
size of the total moment	5.0	μB/cell
energy relative to the elements, uncorrected	0.28	eV/atom
mass density	5315	kg/m3
space group	F-43m (216)


No. 7
VASP calculation (GGA-PBE) on a geometry-optimized Co2AgOs structure.

Geometry as POSCAR:
```
Co2AgOs
1.0
-3.835 1.476 -1.735
-3.645 -1.094 -2.326
-2.934 -1.088 3.792
Co Os Ag
2 1 1
Cartesian
-5.134 -0.305 -0.323 Co
-7.553 0.333 -3.873 Co
-2.604 -0.177 -0.067 Os
-7.811 -0.530 -0.202 Ag
```

Fermi-level density of states	1.26	states/eV/atom
final energy	-6.579	eV/atom
size of the total moment	2.5	μB/cell
calculated formation energy	47.67	kJ per mole of atoms
mass density	12607	kg/m3
space group	C2/m (12)
offset from the most stable computed form	204.5	meV/atom


No. 8
VASP calculation (GGA-PBE) on a geometry-optimized Na2AgSbI6 structure.

Geometry as POSCAR:
```
Na2AgSbI6
1.0
-2.605 -1.300 -7.385
-7.404 -2.587 -1.205
-5.599 5.364 -3.227
Na I Sb Ag
2 6 1 1
Cartesian
-5.508 5.089 -3.213 Na
-7.669 0.334 -5.890 Na
-7.724 2.788 -3.663 I
-4.487 0.124 -5.416 I
-10.638 1.639 -6.534 I
-9.031 -1.317 -3.482 I
-8.282 -1.346 -8.571 I
-6.779 2.880 -7.805 I
-3.382 -1.155 -2.870 Sb
-11.240 -0.258 -8.782 Ag
```

final energy	-2.546	eV/atom
size of the total moment	0.0	μB/cell
energy relative to the elements, uncorrected	-0.65	eV/atom
mass density	4485	kg/m3
space group	P1 (1)